# 1
BeP3Se | GGA-PBE | relaxed

Cell lengths 4.728, 4.728, 4.728 Å; angles 90.00, 90.00, 90.00 degrees
Sites, in units of the cell vectors:
P  0.000  0.500  0.000
P  0.000  0.000  0.500
P  0.500  0.000  0.000
Se  0.000  0.000  0.000
Be  0.500  0.500  0.500

## Properties
raw formation energy	7.674	eV per formula unit
energy above the lowest structure with this stoichiometry	785	meV/atom
SG	No. 221
total moment	0.00	μB/f.u.
electronic total energy	-3.153	eV/atom

***

# 2
LiIn2Bi2 | GGA-PBE | relaxed

Cell lengths 4.617, 4.617, 8.242 Å; angles 73.73, 73.73, 90.00 degrees
Sites, in units of the cell vectors:
Li  0.000  0.000  0.000
Bi  0.395  0.395  0.211
Bi  0.605  0.605  0.789
In  0.750  0.250  0.500
In  0.250  0.750  0.500

## Properties
energy above the lowest structure with this stoichiometry	136	meV/atom
SG	No. 139
ΔH_f (0 K)	0.08	eV/f.u.
total moment	0.00	μB/f.u.
electronic total energy	-3.014	eV/atom

***

# 3
Zr2CdW | GGA-PBE | relaxed

Cell lengths 2.977, 2.977, 9.657 Å; angles 90.00, 90.00, 107.66 degrees
Sites, in units of the cell vectors:
Cd  0.500  0.500  0.250
W  0.500  0.500  0.750
Zr  0.000  0.000  0.979
Zr  0.000  0.000  0.521

## Properties
SG	No. 65
ΔH_f (0 K)	0.15	eV/f.u.
total moment	0.00	μB/f.u.
electronic total energy	-7.702	eV/atom

***

# 4
ScIBr3 | GGA-PBE | relaxed

Cell lengths 8.362, 8.362, 10.426 Å; angles 90.00, 90.00, 141.84 degrees
Sites, in units of the cell vectors:
I  0.440  0.560  0.250
I  0.560  0.440  0.750
Sc  0.026  0.974  0.250
Sc  0.974  0.026  0.750
Br  0.419  0.084  0.250
Br  0.916  0.581  0.250
Br  0.084  0.419  0.750
Br  0.581  0.916  0.750
Br  0.000  0.000  0.000
Br  0.000  0.000  0.500

## Properties
raw formation energy	-5.412	eV per formula unit
energy above the lowest structure with this stoichiometry	255	meV/atom
SG	No. 63
total moment	0.00	μB/f.u.
electronic total energy	-3.662	eV/atom

***

# 5
SrTeW2 | GGA-PBE | relaxed

Cell lengths 6.271, 6.271, 6.271 Å; angles 149.01, 135.18, 55.49 degrees
Sites, in units of the cell vectors:
Sr  0.750  0.250  0.500
Te  0.250  0.750  0.500
W  0.019  0.019  0.000
W  0.481  0.481  0.000

## Properties
raw formation energy	3.978	eV per formula unit
SG	No. 71
total moment	0.00	μB/f.u.
electronic total energy	-6.688	eV/atom

***

# 6
PrZnAg | GGA-PBE | relaxed

Cell lengths 4.739, 5.954, 5.874 Å; angles 74.58, 66.21, 66.55 degrees
Sites, in units of the cell vectors:
Pr  0.529  0.218  0.724
Pr  0.471  0.782  0.276
Zn  0.161  0.378  0.300
Zn  0.839  0.622  0.700
Ag  0.827  0.213  0.134
Ag  0.173  0.787  0.866

## Properties
SG	No. 12
ΔH_f (0 K)	-0.93	eV/f.u.
total moment	0.00	μB/f.u.
electronic total energy	-3.278	eV/atom

***

# 7
Li2HfBeSb | GGA-PBE | relaxed

Cell lengths 4.343, 4.815, 4.343 Å; angles 90.00, 90.00, 90.00 degrees
Sites, in units of the cell vectors:
Sb  0.500  0.500  0.500
Li  0.000  0.000  0.500
Li  0.500  0.000  0.000
Hf  0.000  0.500  0.000
Be  0.000  0.000  0.000

## Properties
raw formation energy	0.590	eV per formula unit
energy above the lowest structure with this stoichiometry	0	meV/atom
SG	No. 123
total moment	0.00	μB/f.u.
electronic total energy	-4.208	eV/atom

***

# 8
Sc4AlGa | GGA-PBE | relaxed

Cell lengths 4.691, 4.691, 6.658 Å; angles 89.99, 89.99, 90.00 degrees
Sites, in units of the cell vectors:
Sc  0.501  0.997  0.251
Sc  0.501  0.997  0.745
Sc  0.001  0.497  0.745
Sc  0.001  0.497  0.251
Al  0.501  0.497  0.998
Ga  0.001  0.997  0.498

## Properties
energy above the lowest structure with this stoichiometry	9	meV/atom
SG	No. 123
ΔH_f (0 K)	-0.78	eV/f.u.
total moment	0.00	μB/f.u.
electronic total energy	-5.479	eV/atom